Record 1
# NaZr2Pt2 (PBE, relaxed)
# * total DFT energy (no corrections): -0.24932 Ha/atom
# * polymorph energy (0 for the lowest one): 0 meV per atom
# * calculated volume: 203.08 Å³ per cell
# * density of states at the Fermi level: 7.08 states/eV per cell
# * calculated formation energy: -0.685 eV per atom
data_NaZr2Pt2
_chemical_formula_sum 'Na2 Zr4 Pt4'
_cell_length_a 7.931
_cell_length_b 7.931
_cell_length_c 3.228
_cell_angle_alpha 90.00
_cell_angle_beta 90.00
_cell_angle_gamma 90.00
_symmetry_space_group_name_H-M 'P 4/m b m'
_symmetry_Int_Tables_number 127
_symmetry_space_group_name_Hall '-P 4 2ab'
loop_
_atom_site_label
_atom_site_fract_x
_atom_site_fract_y
_atom_site_fract_z
Na1 0.000 0.000 0.000
Zr1 0.160 0.340 0.500
Pt1 0.134 0.634 0.000

***

Record 2
# CsAlAu3 (PBE, relaxed)
# * total DFT energy (no corrections): -0.05968 Ha/atom
# * polymorph energy (0 for the lowest one): 1568 meV per atom
# * calculated volume: 232.15 Å³ per cell
# * density of states at the Fermi level: 9.12 states/eV per cell
# * calculated formation energy: 1.262 eV per atom
data_CsAlAu3
_chemical_formula_sum 'Cs1 Al1 Au3'
_cell_length_a 6.146
_cell_length_b 6.146
_cell_length_c 6.146
_cell_angle_alpha 90.00
_cell_angle_beta 90.00
_cell_angle_gamma 90.00
_symmetry_space_group_name_H-M 'P m -3 m'
_symmetry_Int_Tables_number 221
_symmetry_space_group_name_Hall '-P 4 2 3'
loop_
_atom_site_label
_atom_site_fract_x
_atom_site_fract_y
_atom_site_fract_z
Cs1 0.000 0.000 0.000
Al1 0.500 0.500 0.500
Au1 0.000 0.000 0.500

***

Record 3
# GaN2OF (PBE, relaxed)
# * total DFT energy (no corrections): -0.15042 Ha/atom
# * calculated volume: 65.52 Å³ per cell
# * density of states at the Fermi level: 2.04 states/eV per cell
# * formation energy without anion corrections: 1208 meV/atom
data_GaN2OF
_chemical_formula_sum 'Ga1 N2 O1 F1'
_cell_length_a 4.010
_cell_length_b 4.010
_cell_length_c 4.075
_cell_angle_alpha 90.00
_cell_angle_beta 90.00
_cell_angle_gamma 90.00
_symmetry_space_group_name_H-M 'P 4/m m m'
_symmetry_Int_Tables_number 123
_symmetry_space_group_name_Hall '-P 4 2'
loop_
_atom_site_label
_atom_site_fract_x
_atom_site_fract_y
_atom_site_fract_z
Ga1 0.000 0.000 0.000
N1 0.000 0.500 0.000
O1 0.500 0.500 0.500
F1 0.000 0.000 0.500

***

Record 4
# DyTmMgHg (PBE, relaxed)
# * total DFT energy (no corrections): -0.11021 Ha/atom
# * polymorph energy (0 for the lowest one): 17 meV per atom
# * calculated volume: 412.02 Å³ per cell
# * density of states at the Fermi level: 16.54 states/eV per cell
# * calculated formation energy: -0.257 eV per atom
data_DyTmMgHg
_chemical_formula_sum 'Dy4 Tm4 Mg4 Hg4'
_cell_length_a 7.441
_cell_length_b 7.441
_cell_length_c 7.441
_cell_angle_alpha 90.00
_cell_angle_beta 90.00
_cell_angle_gamma 90.00
_symmetry_space_group_name_H-M 'F -4 3 m'
_symmetry_Int_Tables_number 216
_symmetry_space_group_name_Hall 'F -4 2 3'
loop_
_atom_site_label
_atom_site_fract_x
_atom_site_fract_y
_atom_site_fract_z
Dy1 0.000 0.000 0.000
Tm1 0.000 0.000 0.500
Mg1 0.250 0.250 0.750
Hg1 0.250 0.250 0.250

***

Record 5
# MnAg2Au (PBE, relaxed)
# * total DFT energy (no corrections): -0.16461 Ha/atom
# * calculated volume: 69.29 Å³ per cell
# * density of states at the Fermi level: 1.40 states/eV per cell
# * calculated formation energy: 0.058 eV per atom
data_MnAg2Au
_chemical_formula_sum 'Mn1 Ag2 Au1'
_cell_length_a 3.133
_cell_length_b 3.516
_cell_length_c 6.290
_cell_angle_alpha 90.00
_cell_angle_beta 90.00
_cell_angle_gamma 90.00
_symmetry_space_group_name_H-M 'P m m 2'
_symmetry_Int_Tables_number 25
_symmetry_space_group_name_Hall 'P 2 -2'
loop_
_atom_site_label
_atom_site_fract_x
_atom_site_fract_y
_atom_site_fract_z
Mn1 0.000 0.000 0.000
Ag1 0.000 0.000 0.507
Ag2 0.500 0.500 0.249
Au1 0.500 0.500 0.775

***

Record 6
# MnHg2Ir (PBE, relaxed)
# * total DFT energy (no corrections): -0.14706 Ha/atom
# * polymorph energy (0 for the lowest one): 444 meV per atom
# * calculated volume: 316.06 Å³ per cell
# * density of states at the Fermi level: 13.64 states/eV per cell
# * calculated formation energy: 0.657 eV per atom
data_MnHg2Ir
_chemical_formula_sum 'Mn4 Hg8 Ir4'
_cell_length_a 7.521
_cell_length_b 7.521
_cell_length_c 5.587
_cell_angle_alpha 90.00
_cell_angle_beta 90.00
_cell_angle_gamma 90.00
_symmetry_space_group_name_H-M 'I -4 2 d'
_symmetry_Int_Tables_number 122
_symmetry_space_group_name_Hall 'I -4 2bw'
loop_
_atom_site_label
_atom_site_fract_x
_atom_site_fract_y
_atom_site_fract_z
Mn1 0.000 0.000 0.000
Hg1 0.247 0.250 0.625
Ir1 0.000 0.000 0.500